1.
# AlCrNO2 (PBEsol, optimized geometry)
# N(E_F) ... 2.38 states/eV/cell
# Formation energy without anion corrections ... -76 kJ/mol of atoms
data_AlCrNO2
_space_group_name_H-M_alt 'P 1'
_space_group_IT_number 1
_cell_length_a 3.532
_cell_length_b 3.532
_cell_length_c 3.987
_cell_angle_alpha 90.00
_cell_angle_beta 90.00
_cell_angle_gamma 90.00
loop_
_space_group_symop_operation_xyz
'x,y,z'
loop_
_atom_site_label
_atom_site_type_symbol
_atom_site_fract_x
_atom_site_fract_y
_atom_site_fract_z
_atom_site_occupancy
Al1 Al 0.000 0.000 0.000 1
Cr1 Cr 0.500 0.500 0.500 1
N1 N 0.500 0.500 0.000 1
O1 O 0.000 0.500 0.500 1
O2 O 0.500 0.000 0.500 1

---

2.
# Cu2SeN (PBEsol, optimized geometry)
# N(E_F) ... 3.34 states/eV/cell
# Formation energy without anion corrections ... 93 kJ/mol of atoms
data_Cu2SeN
_space_group_name_H-M_alt 'P 1'
_space_group_IT_number 1
_cell_length_a 4.069
_cell_length_b 4.069
_cell_length_c 4.069
_cell_angle_alpha 60.00
_cell_angle_beta 60.00
_cell_angle_gamma 60.00
loop_
_space_group_symop_operation_xyz
'x,y,z'
loop_
_atom_site_label
_atom_site_type_symbol
_atom_site_fract_x
_atom_site_fract_y
_atom_site_fract_z
_atom_site_occupancy
Cu1 Cu 0.250 0.250 0.250 1
Cu2 Cu 0.750 0.750 0.750 1
Se1 Se 0.000 0.000 0.000 1
N1 N 0.500 0.500 0.500 1

---

3.
# Cs3CoBr5 (PBEsol, optimized geometry)
# Formation energy without anion corrections ... -125 kJ/mol of atoms
data_Cs3CoBr5
_space_group_name_H-M_alt 'P 1'
_space_group_IT_number 1
_cell_length_a 10.011
_cell_length_b 10.011
_cell_length_c 10.011
_cell_angle_alpha 123.27
_cell_angle_beta 123.27
_cell_angle_gamma 84.43
loop_
_space_group_symop_operation_xyz
'x,y,z'
loop_
_atom_site_label
_atom_site_type_symbol
_atom_site_fract_x
_atom_site_fract_y
_atom_site_fract_z
_atom_site_occupancy
Cs1 Cs 0.161 0.661 0.821 1
Cs2 Cs 0.250 0.250 0.000 1
Cs3 Cs 0.339 0.161 0.500 1
Cs4 Cs 0.661 0.839 0.500 1
Cs5 Cs 0.750 0.750 0.000 1
Cs6 Cs 0.839 0.339 0.179 1
Co1 Co 0.250 0.750 0.500 1
Co2 Co 0.750 0.250 0.500 1
Br1 Br 0.000 0.000 0.000 1
Br2 Br 0.015 0.799 0.500 1
Br3 Br 0.201 0.701 0.217 1
Br4 Br 0.299 0.515 0.500 1
Br5 Br 0.485 0.985 0.783 1
Br6 Br 0.500 0.500 0.000 1
Br7 Br 0.515 0.015 0.217 1
Br8 Br 0.701 0.485 0.500 1
Br9 Br 0.799 0.299 0.783 1
Br10 Br 0.985 0.201 0.500 1

---

4.
# MgTe2RuI (PBEsol, optimized geometry)
# N(E_F) ... 5.59 states/eV/cell
# Formation energy without anion corrections ... 27 kJ/mol of atoms
data_MgTe2RuI
_space_group_name_H-M_alt 'P 1'
_space_group_IT_number 1
_cell_length_a 5.110
_cell_length_b 5.110
_cell_length_c 5.519
_cell_angle_alpha 90.00
_cell_angle_beta 90.00
_cell_angle_gamma 90.00
loop_
_space_group_symop_operation_xyz
'x,y,z'
loop_
_atom_site_label
_atom_site_type_symbol
_atom_site_fract_x
_atom_site_fract_y
_atom_site_fract_z
_atom_site_occupancy
Mg1 Mg 0.000 0.000 0.000 1
Te1 Te 0.000 0.500 0.500 1
Te2 Te 0.500 0.000 0.500 1
Ru1 Ru 0.500 0.500 0.500 1
I1 I 0.500 0.500 0.000 1

---

5.
# CaAgIr (PBEsol, optimized geometry)
# Formation enthalpy at 0 K ... 0.377 eV/atom
# N(E_F) ... 6.30 states/eV/cell
data_CaAgIr
_space_group_name_H-M_alt 'P 1'
_space_group_IT_number 1
_cell_length_a 4.527
_cell_length_b 4.527
_cell_length_c 4.527
_cell_angle_alpha 60.00
_cell_angle_beta 60.00
_cell_angle_gamma 60.00
loop_
_space_group_symop_operation_xyz
'x,y,z'
loop_
_atom_site_label
_atom_site_type_symbol
_atom_site_fract_x
_atom_site_fract_y
_atom_site_fract_z
_atom_site_occupancy
Ca1 Ca 0.000 0.000 0.000 1
Ag1 Ag 0.500 0.500 0.500 1
Ir1 Ir 0.750 0.750 0.750 1

---

6.
# AlTl2Au (PBEsol, optimized geometry)
# Formation enthalpy at 0 K ... 0.180 eV/atom
# N(E_F) ... 2.15 states/eV/cell
data_AlTl2Au
_space_group_name_H-M_alt 'P 1'
_space_group_IT_number 1
_cell_length_a 5.313
_cell_length_b 5.313
_cell_length_c 5.313
_cell_angle_alpha 128.94
_cell_angle_beta 128.94
_cell_angle_gamma 75.11
loop_
_space_group_symop_operation_xyz
'x,y,z'
loop_
_atom_site_label
_atom_site_type_symbol
_atom_site_fract_x
_atom_site_fract_y
_atom_site_fract_z
_atom_site_occupancy
Al1 Al 0.000 0.000 0.000 1
Tl1 Tl 0.500 0.500 0.000 1
Tl2 Tl 0.750 0.250 0.500 1
Au1 Au 0.250 0.750 0.500 1

---

7.
# Ag2WAu (PBEsol, optimized geometry)
# Formation enthalpy at 0 K ... 0.499 eV/atom
# N(E_F) ... 2.94 states/eV/cell
data_Ag2WAu
_space_group_name_H-M_alt 'P 1'
_space_group_IT_number 1
_cell_length_a 5.727
_cell_length_b 5.727
_cell_length_c 5.727
_cell_angle_alpha 152.58
_cell_angle_beta 129.16
_cell_angle_gamma 58.72
loop_
_space_group_symop_operation_xyz
'x,y,z'
loop_
_atom_site_label
_atom_site_type_symbol
_atom_site_fract_x
_atom_site_fract_y
_atom_site_fract_z
_atom_site_occupancy
Ag1 Ag 0.248 0.248 0.000 1
Ag2 Ag 0.752 0.752 0.000 1
W1 W 0.000 0.500 0.500 1
Au1 Au 0.500 0.000 0.500 1

---

8.
# SrCoIr2 (PBEsol, optimized geometry)
# Formation enthalpy at 0 K ... 0.537 eV/atom
# N(E_F) ... 4.28 states/eV/cell
data_SrCoIr2
_space_group_name_H-M_alt 'P 1'
_space_group_IT_number 1
_cell_length_a 5.710
_cell_length_b 5.710
_cell_length_c 5.710
_cell_angle_alpha 151.46
_cell_angle_beta 129.30
_cell_angle_gamma 59.21
loop_
_space_group_symop_operation_xyz
'x,y,z'
loop_
_atom_site_label
_atom_site_type_symbol
_atom_site_fract_x
_atom_site_fract_y
_atom_site_fract_z
_atom_site_occupancy
Sr1 Sr 0.000 0.000 0.000 1
Co1 Co 0.282 0.782 0.500 1
Ir1 Ir 0.491 0.491 0.000 1
Ir2 Ir 0.714 0.214 0.500 1

---

9.
# YAg2Mo (PBEsol, optimized geometry)
# Formation enthalpy at 0 K ... 0.354 eV/atom
# N(E_F) ... 5.08 states/eV/cell
data_YAg2Mo
_space_group_name_H-M_alt 'P 1'
_space_group_IT_number 1
_cell_length_a 5.200
_cell_length_b 5.200
_cell_length_c 5.200
_cell_angle_alpha 132.78
_cell_angle_beta 132.78
_cell_angle_gamma 69.00
loop_
_space_group_symop_operation_xyz
'x,y,z'
loop_
_atom_site_label
_atom_site_type_symbol
_atom_site_fract_x
_atom_site_fract_y
_atom_site_fract_z
_atom_site_occupancy
Y1 Y 0.000 0.000 0.000 1
Ag1 Ag 0.250 0.750 0.500 1
Ag2 Ag 0.750 0.250 0.500 1
Mo1 Mo 0.500 0.500 0.000 1

---

10.
# ReTeBr2 (PBEsol, optimized geometry)
# N(E_F) ... 4.10 states/eV/cell
# Formation energy without anion corrections ... 66 kJ/mol of atoms
data_ReTeBr2
_space_group_name_H-M_alt 'P 1'
_space_group_IT_number 1
_cell_length_a 3.096
_cell_length_b 3.096
_cell_length_c 9.401
_cell_angle_alpha 90.00
_cell_angle_beta 90.00
_cell_angle_gamma 90.00
loop_
_space_group_symop_operation_xyz
'x,y,z'
loop_
_atom_site_label
_atom_site_type_symbol
_atom_site_fract_x
_atom_site_fract_y
_atom_site_fract_z
_atom_site_occupancy
Re1 Re 0.000 0.000 0.000 1
Te1 Te 0.000 0.000 0.500 1
Br1 Br 0.500 0.500 0.166 1
Br2 Br 0.500 0.500 0.834 1

---

11.
# CsZrP2S (PBEsol, optimized geometry)
# N(E_F) ... 6.00 states/eV/cell
# Formation energy without anion corrections ... -41 kJ/mol of atoms
data_CsZrP2S
_space_group_name_H-M_alt 'P 1'
_space_group_IT_number 1
_cell_length_a 5.096
_cell_length_b 5.096
_cell_length_c 5.056
_cell_angle_alpha 90.00
_cell_angle_beta 90.00
_cell_angle_gamma 90.00
loop_
_space_group_symop_operation_xyz
'x,y,z'
loop_
_atom_site_label
_atom_site_type_symbol
_atom_site_fract_x
_atom_site_fract_y
_atom_site_fract_z
_atom_site_occupancy
Cs1 Cs 0.000 0.000 0.000 1
Zr1 Zr 0.500 0.500 0.500 1
P1 P 0.000 0.500 0.500 1
P2 P 0.500 0.000 0.500 1
S1 S 0.500 0.500 0.000 1

---

12.
# IrPt2 (PBEsol, optimized geometry)
# Formation enthalpy at 0 K ... 0.057 eV/atom
# N(E_F) ... 4.76 states/eV/cell
data_IrPt2
_space_group_name_H-M_alt 'P 1'
_space_group_IT_number 1
_cell_length_a 2.759
_cell_length_b 2.759
_cell_length_c 6.677
_cell_angle_alpha 90.00
_cell_angle_beta 90.00
_cell_angle_gamma 120.00
loop_
_space_group_symop_operation_xyz
'x,y,z'
loop_
_atom_site_label
_atom_site_type_symbol
_atom_site_fract_x
_atom_site_fract_y
_atom_site_fract_z
_atom_site_occupancy
Ir1 Ir 0.000 0.000 0.000 1
Pt1 Pt 0.333 0.667 0.671 1
Pt2 Pt 0.667 0.333 0.329 1